LiCe2Ga2Pt7 after structural relaxation, computed with GGA-PBE.

abc: 5.748 5.666 13.707
angles: 90.00 99.57 90.00
Space group C2/m (No. 12)
Unique sites:
1 Li 0.000 0.000 0.000 (multiplicity 2)
2 Ce 0.130 0.000 0.344 (multiplicity 4)
3 Ga 0.100 0.500 0.250 (multiplicity 4)
4 Pt 0.000 0.500 0.000 (multiplicity 2)
5 Pt 0.144 0.500 0.432 (multiplicity 4)
6 Pt 0.193 0.250 0.858 (multiplicity 8)

total DFT energy (no corrections) = -5.939 eV per atom
formation energy = -882.1 kJ/mol of formula units